SmThTcPd | PBE-GGA | optimized geometry

Output
- density (g cm⁻³) = 10.77
- energy relative to the elements (eV per atom) = -0.348

Cell lengths 7.1253, 7.1253, 7.1253 Å; angles 90.00, 90.00, 90.00 degrees
Closest atoms and distances in Å follow each position.
Space group F-43m (No. 216)
Inequivalent atoms, fractional coordinates:
Sm 0.0000 0.0000 0.0000 [4 per cell]  4 Pd 3.09, 4 Tc 3.09
Th 0.0000 0.0000 0.5000 [4 per cell]  4 Tc 3.09, 4 Pd 3.09
Tc 0.2500 0.2500 0.7500 [4 per cell]  4 Th 3.09, 4 Sm 3.09
Pd 0.2500 0.2500 0.2500 [4 per cell]  4 Th 3.09, 4 Sm 3.09